VASP calculation (GGA-PBE) on a relaxed structure of TmZrCoRu.

Unit cell a=3.288 b=3.288 c=6.526 alpha=90.00 beta=90.00 gamma=90.00
Fractional positions:
Tm: 0.000 0.000 0.000
Zr: 0.000 0.000 0.509
Co: 0.500 0.500 0.735
Ru: 0.500 0.500 0.269

Output
- Crystal system: tetragonal
- Excess energy over the best structure of this formula in the dataset: 0 meV/atom
- Energy relative to the elements: -170.9 kJ/mol of formula units
- Space group: P4mm